1.
LiAlPb2 | Alexandria | PBE-GGA | relaxed; symmetry = R-3m (166); crystal system = trigonal; formation energy from the elements = -0.001 eV per atom
1.0
1.801 1.040 8.782
-1.801 1.040 8.782
0.000 -2.079 8.782
Li Al Pb
1 1 2
Cartesian
0.000 0.000 0.000 Li
0.000 0.000 13.173 Al
0.000 0.000 6.537 Pb
0.000 0.000 19.810 Pb

=====

2.
Dy2Tm | Alexandria | PBE-GGA | relaxed; symmetry = C2/m (12); energy above the most stable polymorph in this dataset = 0.017 eV per atom; crystal system = monoclinic; formation energy from the elements = 0.021 eV per atom
1.0
5.561 -2.484 0.000
5.561 2.484 0.000
-2.226 0.000 6.671
Dy Tm
4 2
Cartesian
-0.552 0.000 1.673 Dy
1.663 0.000 6.111 Dy
7.234 0.000 0.559 Dy
9.448 0.000 4.997 Dy
2.780 0.000 2.782 Tm
6.116 0.000 3.889 Tm

=====

formation energy from the elements of number 2 (Dy2Tm)? 0.021 eV per atom

=====

The highest formation energy from the elements belongs to which entry? Dy2Tm

=====

What did the second record say?
Dy2Tm | Alexandria | PBE-GGA | relaxed; symmetry = C2/m (12); energy above the most stable polymorph in this dataset = 0.017 eV per atom; crystal system = monoclinic; formation energy from the elements = 0.021 eV per atom
1.0
5.561 -2.484 0.000
5.561 2.484 0.000
-2.226 0.000 6.671
Dy Tm
4 2
Cartesian
-0.552 0.000 1.673 Dy
1.663 0.000 6.111 Dy
7.234 0.000 0.559 Dy
9.448 0.000 4.997 Dy
2.780 0.000 2.782 Tm
6.116 0.000 3.889 Tm